Computed, not measured: crystalline KYCd2 at its relaxed geometry at the PBE level of DFT.

Summary:
The symmetry is Imm2. The calculation puts the energy relative to the elements at 10.2 meV/atom. Its excess energy over the best structure of this formula in the dataset is 0.51 eV per formula unit. The calculation puts the density of states at the Fermi level at 2.6 states/eV per cell. The spin magnetization comes out at 0.00 μB per formula unit. Its volume is 29.956 Å³/atom.

```
data_KYCd2
_cell_length_a 6.824
_cell_length_b 6.824
_cell_length_c 6.824
_cell_angle_alpha 149.94
_cell_angle_beta 130.65
_cell_angle_gamma 58.88
_symmetry_space_group_name_H-M 'P 1'
_symmetry_Int_Tables_number 1
loop_
_symmetry_equiv_pos_as_xyz
'x,y,z'
loop_
_atom_site_label
_atom_site_type_symbol
_atom_site_fract_x
_atom_site_fract_y
_atom_site_fract_z
Cd1 Cd 0.219 0.719 0.500
Cd2 Cd 0.014 0.014 0.000
K1 K 0.484 0.484 0.000
Y1 Y 0.782 0.282 0.500
```